Compound: BaHg2WF
Source: Alexandria
Functional: PBE+U
Structure: optimized geometry

Geometry as POSCAR:
```
BaHg2WF
1.0
5.545 0.000 0.000
0.000 5.545 0.000
0.000 0.000 6.777
Ba Hg W F
1 2 1 1
Direct
0.000 0.000 0.000 Ba
0.000 0.500 0.500 Hg
0.500 0.000 0.500 Hg
0.000 0.000 0.500 W
0.500 0.500 0.000 F
```

Calculated values
Calculated volume   208.4 Å³/f.u.
Uncorrected energy   -11.68 eV/cell
Size of the total moment   1.00 μB/atom